[1]
A plane-wave DFT calculation with PBE-GGA was carried out for crystalline NaTi3Fe at its relaxed geometry.

Properties
density of states at the Fermi level = 0.883 states/eV/atom
E_tot = -31.22 eV for the cell shown
size of the total moment = 0.33 μB/atom

Cell and atoms, written as CIF:
```
data_NaTi3Fe
_chemical_formula_sum 'Na1 Ti3 Fe1'
_symmetry_space_group_name_H-M 'P m -3 m'
_symmetry_Int_Tables_number 221
_symmetry_space_group_name_Hall '-P 4 2 3'
_cell_length_a 4.616
_cell_length_b 4.616
_cell_length_c 4.616
_cell_angle_alpha 90.00
_cell_angle_beta 90.00
_cell_angle_gamma 90.00
loop_
_atom_site_label
_atom_site_type_symbol
_atom_site_fract_x
_atom_site_fract_y
_atom_site_fract_z
_atom_site_occupancy
Na1 Na 0.000 0.000 0.000 1
Ti1 Ti 0.000 0.500 0.500 1
Fe1 Fe 0.500 0.500 0.500 1
```

[2]
A plane-wave DFT calculation with PBE-GGA was carried out for crystalline RbUTiS4 at its relaxed geometry.

Properties
density of states at the Fermi level = 0.965 states/eV/atom
uncorrected formation energy = -1340 meV/atom
E_tot = -92.08 eV for the cell shown
size of the total moment = 0.43 μB/atom

Cell and atoms, written as CIF:
```
data_RbUTiS4
_chemical_formula_sum 'Rb2 U2 Ti2 S8'
_symmetry_space_group_name_H-M 'P 1 21/m 1'
_symmetry_Int_Tables_number 11
_cell_length_a 6.621
_cell_length_b 6.662
_cell_length_c 9.262
_cell_angle_alpha 90.00
_cell_angle_beta 108.71
_cell_angle_gamma 90.00
loop_
_symmetry_equiv_pos_as_xyz
'x,y,z'
'-x,-y,-z'
'-x,y+1/2,-z'
'x,-y+1/2,z'
loop_
_atom_site_label
_atom_site_type_symbol
_atom_site_fract_x
_atom_site_fract_y
_atom_site_fract_z
_atom_site_occupancy
Rb1 Rb 0.223 0.250 0.438 1
U1 U 0.283 0.250 0.951 1
Ti1 Ti 0.269 0.750 0.165 1
S1 S 0.049 0.750 0.924 1
S2 S 0.060 0.750 0.318 1
S3 S 0.489 0.508 0.804 1
```

[3]
A plane-wave DFT calculation with PBE-GGA was carried out for crystalline Rb2NaIn3Bi4 at its relaxed geometry.

Properties
density of states at the Fermi level = 0.632 states/eV/atom
E_tot = -29.16 eV for the cell shown
size of the total moment = 0.00 μB/atom

Cell and atoms, written as CIF:
```
data_Rb2NaIn3Bi4
_chemical_formula_sum 'Rb2 Na1 In3 Bi4'
_symmetry_space_group_name_H-M 'P -4 m 2'
_symmetry_Int_Tables_number 115
_cell_length_a 5.241
_cell_length_b 5.241
_cell_length_c 13.424
_cell_angle_alpha 90.00
_cell_angle_beta 90.00
_cell_angle_gamma 90.00
loop_
_symmetry_equiv_pos_as_xyz
'x,y,z'
'y,-x,-z'
'-x,-y,z'
'-y,x,-z'
'-x,y,z'
'-y,-x,-z'
'x,-y,z'
'y,x,-z'
loop_
_atom_site_label
_atom_site_type_symbol
_atom_site_fract_x
_atom_site_fract_y
_atom_site_fract_z
_atom_site_occupancy
Rb1 Rb 0.000 0.500 0.247 1
Na1 Na 0.500 0.500 0.000 1
In1 In 0.000 0.000 0.000 1
In2 In 0.000 0.500 0.638 1
Bi1 Bi 0.000 0.000 0.500 1
Bi2 Bi 0.000 0.500 0.866 1
Bi3 Bi 0.500 0.500 0.500 1
```

[4]
A plane-wave DFT calculation with PBE-GGA was carried out for crystalline Si2TeAsPt at its relaxed geometry.

Properties
density of states at the Fermi level = 0.562 states/eV/atom
uncorrected formation energy = 1277 meV/atom
E_tot = -18.29 eV for the cell shown
size of the total moment = 0.00 μB/atom

Cell and atoms, written as CIF:
```
data_Si2TeAsPt
_chemical_formula_sum 'Si2 Te1 As1 Pt1'
_symmetry_space_group_name_H-M 'P 4/m m m'
_symmetry_Int_Tables_number 123
_symmetry_space_group_name_Hall '-P 4 2'
_cell_length_a 5.187
_cell_length_b 5.187
_cell_length_c 4.937
_cell_angle_alpha 90.00
_cell_angle_beta 90.00
_cell_angle_gamma 90.00
loop_
_atom_site_label
_atom_site_type_symbol
_atom_site_fract_x
_atom_site_fract_y
_atom_site_fract_z
_atom_site_occupancy
Si1 Si 0.000 0.500 0.000 1
Te1 Te 0.000 0.000 0.000 1
As1 As 0.500 0.500 0.500 1
Pt1 Pt 0.000 0.000 0.500 1
```

[5]
A plane-wave DFT calculation with PBE-GGA was carried out for crystalline SrBe2Se at its relaxed geometry.

Properties
density of states at the Fermi level = 0.664 states/eV/atom
uncorrected formation energy = 239 meV/atom
E_tot = -34.99 eV for the cell shown
size of the total moment = 0.00 μB/atom

Cell and atoms, written as CIF:
```
data_SrBe2Se
_chemical_formula_sum 'Sr3 Be6 Se3'
_symmetry_space_group_name_H-M 'R -3 m'
_symmetry_Int_Tables_number 166
_symmetry_space_group_name_Hall '-R 3 2"'
_cell_length_a 4.1393
_cell_length_b 4.1393
_cell_length_c 16.6726
_cell_angle_alpha 90.00
_cell_angle_beta 90.00
_cell_angle_gamma 120.00
loop_
_atom_site_label
_atom_site_type_symbol
_atom_site_fract_x
_atom_site_fract_y
_atom_site_fract_z
_atom_site_occupancy
Sr1 Sr 0.0000 0.0000 0.0000 1
Be1 Be 0.0000 0.0000 0.2045 1
Se1 Se 0.0000 0.0000 0.5000 1
```

[6]
A plane-wave DFT calculation with PBE-GGA was carried out for crystalline Tb2Nd5YTh at its relaxed geometry.

Properties
density of states at the Fermi level = 1.431 states/eV/atom
E_tot = -182.82 eV for the cell shown
size of the total moment = 0.00 μB/atom

Cell and atoms, written as CIF:
```
data_Tb2Nd5YTh
_chemical_formula_sum 'Tb8 Nd20 Y4 Th4'
_symmetry_space_group_name_H-M 'C m c m'
_symmetry_Int_Tables_number 63
_symmetry_space_group_name_Hall '-C 2c 2'
_cell_length_a 5.436
_cell_length_b 21.858
_cell_length_c 10.593
_cell_angle_alpha 90.00
_cell_angle_beta 90.00
_cell_angle_gamma 90.00
loop_
_atom_site_label
_atom_site_type_symbol
_atom_site_fract_x
_atom_site_fract_y
_atom_site_fract_z
_atom_site_occupancy
Tb1 Tb 0.000 0.113 0.004 1
Nd1 Nd 0.000 0.002 0.750 1
Nd2 Nd 0.000 0.278 0.557 1
Nd3 Nd 0.000 0.374 0.250 1
Nd4 Nd 0.000 0.500 0.000 1
Y1 Y 0.000 0.398 0.750 1
Th1 Th 0.000 0.214 0.250 1
```